Density functional theory data (PBE-GGA) for a relaxed structure of GaTcMo2.

Calculated values
Uncorrected energy = -8.40 eV/atom
Formation energy from the elements = 0.3598 eV/atom

CIF file:
```
data_GaTcMo2
_space_group_name_H-M_alt 'C 1 m 1'
_space_group_IT_number 8
_cell_length_a 10.3546
_cell_length_b 2.7008
_cell_length_c 5.3124
_cell_angle_alpha 90.00
_cell_angle_beta 120.40
_cell_angle_gamma 90.00
loop_
_space_group_symop_operation_xyz
'x,y,z'
'x,-y,z'
'x+1/2,y+1/2,z'
'x+1/2,-y+1/2,z'
loop_
_atom_site_label
_atom_site_type_symbol
_atom_site_fract_x
_atom_site_fract_y
_atom_site_fract_z
Ga1 Ga 0.0000 0.0000 0.0000
Tc1 Tc 0.2306 0.5000 0.9846
Mo1 Mo 0.2303 0.5000 0.4858
Mo2 Mo 0.4860 0.5000 0.4877
```

***

Density functional theory data (PBE-GGA) for a relaxed structure of Ga2TcMo.

Calculated values
Uncorrected energy = -6.79 eV/atom
Formation energy from the elements = 0.0237 eV/atom

CIF file:
```
data_Ga2TcMo
_space_group_name_H-M_alt 'R -3 m'
_space_group_IT_number 166
_space_group_name_Hall '-R 3 2"'
_cell_length_a 2.8756
_cell_length_b 2.8756
_cell_length_c 25.6162
_cell_angle_alpha 90.00
_cell_angle_beta 90.00
_cell_angle_gamma 120.00
loop_
_atom_site_label
_atom_site_type_symbol
_atom_site_fract_x
_atom_site_fract_y
_atom_site_fract_z
Ga1 Ga 0.0000 0.0000 0.2476
Tc1 Tc 0.0000 0.0000 0.5000
Mo1 Mo 0.0000 0.0000 0.0000
```

***

Density functional theory data (PBE-GGA) for a relaxed structure of GaTcMo.

Calculated values
Uncorrected energy = -8.07 eV/atom
Formation energy from the elements = 0.0010 eV/atom

CIF file:
```
data_GaTcMo
_space_group_name_H-M_alt 'P -1'
_space_group_IT_number 2
_cell_length_a 4.4126
_cell_length_b 4.4222
_cell_length_c 5.3312
_cell_angle_alpha 89.73
_cell_angle_beta 89.87
_cell_angle_gamma 60.15
loop_
_space_group_symop_operation_xyz
'x,y,z'
'-x,-y,-z'
loop_
_atom_site_label
_atom_site_type_symbol
_atom_site_fract_x
_atom_site_fract_y
_atom_site_fract_z
Ga1 Ga 0.1667 0.1668 0.0779
Tc1 Tc 0.4995 0.4998 0.2417
Mo1 Mo 0.1669 0.1648 0.5818
```